Record 1
## Ac3BiN2 (PBE)

Data for a relaxed structure of Ac3BiN2.

a b c (Å): 7.885 7.885 6.212
angles (deg): 90.00 90.00 101.00
Positions (direct):
1 Ac 0.098 0.902 0.750
2 Ac 0.178 0.383 0.750
3 Ac 0.383 0.178 0.250
4 Ac 0.617 0.822 0.750
5 Ac 0.822 0.617 0.250
6 Ac 0.902 0.098 0.250
7 Bi 0.317 0.683 0.250
8 Bi 0.683 0.317 0.750
9 N 0.158 0.158 0.000
10 N 0.158 0.158 0.500
11 N 0.842 0.842 0.000
12 N 0.842 0.842 0.500

Computed properties:
Distance to the lowest polymorph of the same formula (meV per atom): 0
Symmetry: No. 63
E_form (uncorrected) (eV/atom): -1.100
Total moment (μB/f.u.): 0.0
Raw total energy (eV per atom): -6.5757

---

Record 2
## Ac6Bi5N (PBE)

Data for a relaxed structure of Ac6Bi5N.

a b c (Å): 8.276 8.276 8.176
angles (deg): 99.63 99.63 120.32
Positions (direct):
1 Ac 0.085 0.400 0.743
2 Ac 0.194 0.194 0.298
3 Ac 0.400 0.085 0.743
4 Ac 0.600 0.915 0.257
5 Ac 0.806 0.806 0.702
6 Ac 0.915 0.600 0.257
7 Bi 0.172 0.828 0.000
8 Bi 0.334 0.666 0.500
9 Bi 0.500 0.500 0.000
10 Bi 0.666 0.334 0.500
11 Bi 0.828 0.172 0.000
12 N 0.000 0.000 0.500

Computed properties:
Symmetry: No. 12
E_form (uncorrected) (eV/atom): -0.854
Total moment (μB/f.u.): 0.0
Raw total energy (eV per atom): -5.2194

---

Record 3
## AcBiN (PBE)

Data for a relaxed structure of AcBiN.

a b c (Å): 4.341 4.341 9.112
angles (deg): 90.00 90.00 90.00
Positions (direct):
1 Ac 0.250 0.250 0.131
2 Ac 0.750 0.750 0.869
3 Bi 0.250 0.250 0.565
4 Bi 0.750 0.750 0.435
5 N 0.250 0.750 0.000
6 N 0.750 0.250 0.000

Computed properties:
Distance to the lowest polymorph of the same formula (meV per atom): 0
Symmetry: No. 129
E_form (uncorrected) (eV/atom): -0.653
Total moment (μB/f.u.): 0.4
Raw total energy (eV per atom): -6.0908

---

Record 4
## Ac2BiN2 (PBE)

Data for a relaxed structure of Ac2BiN2.

a b c (Å): 8.527 8.527 6.706
angles (deg): 96.30 96.30 30.76
Positions (direct):
1 Ac 0.057 0.626 0.838
2 Ac 0.374 0.943 0.662
3 Ac 0.626 0.057 0.338
4 Ac 0.943 0.374 0.162
5 Bi 0.300 0.700 0.250
6 Bi 0.700 0.300 0.750
7 N 0.140 0.408 0.467
8 N 0.408 0.140 0.967
9 N 0.592 0.860 0.033
10 N 0.860 0.592 0.533

Computed properties:
Symmetry: No. 15
E_form (uncorrected) (eV/atom): -0.856
Total moment (μB/f.u.): 0.0
Raw total energy (eV per atom): -6.6060

---

Record 5
## Ac3BiN (PBE)

Data for a relaxed structure of Ac3BiN.

a b c (Å): 5.350 5.350 5.350
angles (deg): 90.00 90.00 90.00
Positions (direct):
1 Ac 0.000 0.000 0.500
2 Ac 0.000 0.500 0.000
3 Ac 0.500 0.000 0.000
4 Bi 0.500 0.500 0.500
5 N 0.000 0.000 0.000

Computed properties:
Distance to the lowest polymorph of the same formula (meV per atom): 47
Symmetry: No. 221
E_form (uncorrected) (eV/atom): -0.760
Total moment (μB/f.u.): 0.0
Raw total energy (eV per atom): -5.6666

---

Record 6
## Ac3BiN2 (PBE)

Data for a relaxed structure of Ac3BiN2.

a b c (Å): 3.812 12.117 6.963
angles (deg): 90.00 90.00 90.00
Positions (direct):
1 Ac 0.000 0.095 0.000
2 Ac 0.000 0.905 0.500
3 Ac 0.500 0.166 0.527
4 Ac 0.500 0.387 0.854
5 Ac 0.500 0.613 0.354
6 Ac 0.500 0.834 0.027
7 Bi 0.000 0.366 0.278
8 Bi 0.000 0.634 0.778
9 N 0.000 0.250 0.770
10 N 0.000 0.750 0.270
11 N 0.500 0.003 0.797
12 N 0.500 0.997 0.297

Computed properties:
Distance to the lowest polymorph of the same formula (meV per atom): 165
Symmetry: No. 26
E_form (uncorrected) (eV/atom): -0.935
Total moment (μB/f.u.): 0.0
Raw total energy (eV per atom): -6.4108

---

Record 7
## Ac3Bi2N2 (PBE)

Data for a relaxed structure of Ac3Bi2N2.

a b c (Å): 10.753 5.504 7.112
angles (deg): 90.00 100.81 90.00
Positions (direct):
1 Ac 0.000 0.000 0.000
2 Ac 0.193 0.500 0.338
3 Ac 0.307 0.000 0.662
4 Ac 0.500 0.500 0.000
5 Ac 0.693 0.000 0.338
6 Ac 0.807 0.500 0.662
7 Bi 0.137 0.500 0.817
8 Bi 0.363 0.000 0.183
9 Bi 0.637 0.000 0.817
10 Bi 0.863 0.500 0.183
11 N 0.177 0.000 0.326
12 N 0.323 0.500 0.674
13 N 0.677 0.500 0.326
14 N 0.823 0.000 0.674

Computed properties:
Symmetry: No. 12
E_form (uncorrected) (eV/atom): -0.657
Total moment (μB/f.u.): 0.0
Raw total energy (eV per atom): -5.9054

---

Record 8
## Ac4Bi3N2 (PBE)

Data for a relaxed structure of Ac4Bi3N2.

a b c (Å): 8.207 8.207 11.077
angles (deg): 124.38 124.38 31.29
Positions (direct):
1 Ac 0.125 0.125 0.395
2 Ac 0.303 0.303 0.840
3 Ac 0.697 0.697 0.160
4 Ac 0.875 0.875 0.605
5 Bi 0.000 0.000 0.000
6 Bi 0.417 0.417 0.333
7 Bi 0.583 0.583 0.667
8 N 0.303 0.303 0.635
9 N 0.697 0.697 0.365

Computed properties:
Symmetry: No. 12
E_form (uncorrected) (eV/atom): -0.924
Total moment (μB/f.u.): 0.0
Raw total energy (eV per atom): -5.8936

---

Record 9
## Ac3BiN (PBE)

Data for a relaxed structure of Ac3BiN.

a b c (Å): 13.545 13.545 5.070
angles (deg): 90.00 90.00 158.39
Positions (direct):
1 Ac 0.069 0.931 0.750
2 Ac 0.311 0.689 0.250
3 Ac 0.426 0.574 0.750
4 Ac 0.574 0.426 0.250
5 Ac 0.689 0.311 0.750
6 Ac 0.931 0.069 0.250
7 Bi 0.175 0.825 0.250
8 Bi 0.825 0.175 0.750
9 N 0.402 0.598 0.250
10 N 0.598 0.402 0.750

Computed properties:
Distance to the lowest polymorph of the same formula (meV per atom): 0
Symmetry: No. 63
E_form (uncorrected) (eV/atom): -0.807
Total moment (μB/f.u.): 0.0
Raw total energy (eV per atom): -5.7133

---

Record 10
## AcBiN (PBE)

Data for a relaxed structure of AcBiN.

a b c (Å): 7.026 4.240 11.399
angles (deg): 90.00 104.60 90.00
Positions (direct):
1 Ac 0.161 0.000 0.354
2 Ac 0.339 0.500 0.646
3 Ac 0.661 0.500 0.354
4 Ac 0.839 0.000 0.646
5 Bi 0.209 0.500 0.099
6 Bi 0.291 0.000 0.901
7 Bi 0.709 0.000 0.099
8 Bi 0.791 0.500 0.901
9 N 0.039 0.500 0.446
10 N 0.461 0.000 0.554
11 N 0.539 0.000 0.446
12 N 0.961 0.500 0.554

Computed properties:
Distance to the lowest polymorph of the same formula (meV per atom): 202
Symmetry: No. 12
E_form (uncorrected) (eV/atom): -0.451
Total moment (μB/f.u.): 0.0
Raw total energy (eV per atom): -5.8893

---

Record 11
## Ac3Bi2N (PBE)

Data for a relaxed structure of Ac3Bi2N.

a b c (Å): 7.535 7.535 8.651
angles (deg): 105.69 105.69 68.92
Positions (direct):
1 Ac 0.129 0.871 0.750
2 Ac 0.317 0.393 0.049
3 Ac 0.393 0.317 0.549
4 Ac 0.607 0.683 0.451
5 Ac 0.683 0.607 0.951
6 Ac 0.871 0.129 0.250
7 Bi 0.025 0.659 0.332
8 Bi 0.341 0.975 0.168
9 Bi 0.659 0.025 0.832
10 Bi 0.975 0.341 0.668
11 N 0.408 0.592 0.750
12 N 0.592 0.408 0.250

Computed properties:
Distance to the lowest polymorph of the same formula (meV per atom): 0
Symmetry: No. 15
E_form (uncorrected) (eV/atom): -0.983
Total moment (μB/f.u.): 0.0
Raw total energy (eV per atom): -5.7185

---

Record 12
## Ac3BiN (PBE)

Data for a relaxed structure of Ac3BiN.

a b c (Å): 7.247 7.346 8.198
angles (deg): 116.61 107.37 95.96
Positions (direct):
1 Ac 0.000 0.000 0.000
2 Ac 0.005 0.816 0.478
3 Ac 0.439 0.723 0.915
4 Ac 0.445 0.694 0.418
5 Ac 0.524 0.235 0.940
6 Ac 0.789 0.262 0.456
7 Bi 0.030 0.483 0.983
8 Bi 0.316 0.222 0.476
9 N 0.238 0.921 0.807
10 N 0.705 0.060 0.100

Computed properties:
Distance to the lowest polymorph of the same formula (meV per atom): 48
Symmetry: No. 1
E_form (uncorrected) (eV/atom): -0.759
Total moment (μB/f.u.): 0.0
Raw total energy (eV per atom): -5.6651